Entry 1:
TbFe2BC after structural relaxation. Source: Alexandria via LeMat-Bulk, functional PBE.

It has space group Cmcm (No. 63), with a = 3.522 Å, b = 9.999 Å, c = 6.653 Å, α = 90.00°, β = 90.00° and γ = 90.00°. The inequivalent atoms are Tb at (0.000, 0.048, 0.250), Fe at (0.000, 0.324, 0.063), B at (0.000, 0.231, 0.750) and C at (0.000, 0.500, 0.000).

The calculated volume comes out at 234.29 Å³/cell. The value obtained for the total energy is -7.7825 eV/atom.


Entry 2:
Sr2ZrPaS6 after structural relaxation. Source: Alexandria via LeMat-Bulk, functional PBE.

It has space group P4mm (No. 99), with a = 7.257 Å, b = 7.257 Å, c = 5.285 Å, α = 90.00°, β = 90.00° and γ = 90.00°. The inequivalent atoms are Sr at (0.000, 0.500, 0.000), Zr at (0.000, 0.000, 0.616), Pa at (0.500, 0.500, 0.654), S at (0.000, 0.000, 0.156), S at (0.246, 0.246, 0.688) and S at (0.500, 0.500, 0.160).

The calculated volume comes out at 278.30 Å³/cell. The value obtained for the total energy is -6.3008 eV/atom. As for the uncorrected formation energy: -1684 meV per atom.


Entry 3:
CrAs2 after structural relaxation. Source: Alexandria via LeMat-Bulk, functional PBE.

It has space group Cm (No. 8), with a = 8.811 Å, b = 3.518 Å, c = 7.062 Å, α = 90.00°, β = 105.34° and γ = 90.00°. The inequivalent atoms are Cr at (0.000, 0.000, 0.000), Cr at (0.202, 0.500, 0.593), As at (0.002, 0.000, 0.636), As at (0.237, 0.000, 0.341), As at (0.266, 0.000, 0.885) and As at (0.499, 0.000, 0.257).

The calculated volume comes out at 211.08 Å³/cell. The value obtained for the total energy is -6.2094 eV/atom.


Entry 4:
CdNiTeI2 after structural relaxation. Source: Alexandria via LeMat-Bulk, functional PBE.

It has space group P4/mmm (No. 123), with a = 5.817 Å, b = 5.817 Å, c = 5.748 Å, α = 90.00°, β = 90.00° and γ = 90.00°. The inequivalent atoms are Cd at (0.000, 0.000, 0.000), Ni at (0.500, 0.500, 0.500), Te at (0.000, 0.000, 0.500) and I at (0.000, 0.500, 0.000).

The calculated volume comes out at 194.49 Å³/cell. The value obtained for the total energy is -1.8139 eV/atom. As for the uncorrected formation energy: 774 meV per atom. The calculation puts the offset from the most stable computed form at 0.581 eV/atom.


Entry 5:
TbMg2Sb after structural relaxation. Source: Alexandria via LeMat-Bulk, functional PBE.

It has space group P4/mmm (No. 123), with a = 4.486 Å, b = 4.486 Å, c = 4.868 Å, α = 90.00°, β = 90.00° and γ = 90.00°. The inequivalent atoms are Tb at (0.000, 0.000, 0.000), Mg at (0.000, 0.500, 0.500) and Sb at (0.500, 0.500, 0.000).

The calculated volume comes out at 97.95 Å³/cell. The value obtained for the total energy is -3.4397 eV/atom. As for the uncorrected formation energy: -454 meV per atom.


Entry 6:
Rb4PmNp3Te8 after structural relaxation. Source: Alexandria via LeMat-Bulk, functional PBE.

It has space group C2/m (No. 12), with a = 16.032 Å, b = 9.235 Å, c = 10.067 Å, α = 90.00°, β = 122.07° and γ = 90.00°. The inequivalent atoms are Rb at (0.000, 0.000, 0.000), Rb at (0.000, 0.500, 0.000), Rb at (0.250, 0.250, 0.000), Pm at (0.000, 0.000, 0.500), Np at (0.000, 0.500, 0.500), Np at (0.250, 0.250, 0.500), Te at (0.016, 0.251, 0.297), Te at (0.234, 0.500, 0.700) and Te at (0.235, 0.000, 0.701).

The calculated volume comes out at 1262.93 Å³/cell. The value obtained for the total energy is -5.5349 eV/atom. As for the uncorrected formation energy: -999 meV per atom.


Entry 7:
HfTiTe after structural relaxation. Source: Alexandria via LeMat-Bulk, functional PBE.

It has space group C2/m (No. 12), with a = 10.641 Å, b = 3.518 Å, c = 7.496 Å, α = 90.00°, β = 115.51° and γ = 90.00°. The inequivalent atoms are Hf at (0.140, 0.000, 0.027), Ti at (0.035, 0.500, 0.316) and Te at (0.174, 0.000, 0.650).

The calculated volume comes out at 253.29 Å³/cell. The value obtained for the total energy is -7.3440 eV/atom. As for the uncorrected formation energy: -347 meV per atom. The calculation puts the offset from the most stable computed form at 0.056 eV/atom.


Entry 8:
K2LaZn after structural relaxation. Source: Alexandria via LeMat-Bulk, functional PBE.

It has space group Cmmm (No. 65), with a = 4.137 Å, b = 6.253 Å, c = 12.833 Å, α = 90.00°, β = 90.00° and γ = 90.00°. The inequivalent atoms are K at (0.000, 0.000, 0.216), La at (0.000, 0.500, 0.500) and Zn at (0.000, 0.500, 0.000).

The calculated volume comes out at 331.93 Å³/cell. The value obtained for the total energy is -1.7533 eV/atom. The calculation puts the offset from the most stable computed form at 0.279 eV/atom.


Entry 9:
CsTcNiP2 after structural relaxation. Source: Alexandria via LeMat-Bulk, functional PBE.

It has space group P4/mmm (No. 123), with a = 4.557 Å, b = 4.557 Å, c = 6.322 Å, α = 90.00°, β = 90.00° and γ = 90.00°. The inequivalent atoms are Cs at (0.000, 0.000, 0.000), Tc at (0.000, 0.000, 0.500), Ni at (0.500, 0.500, 0.000) and P at (0.000, 0.500, 0.500).

The calculated volume comes out at 131.30 Å³/cell. The value obtained for the total energy is -4.6097 eV/atom.


Entry 10:
Dy2Ta2Si2C after structural relaxation. Source: Alexandria via LeMat-Bulk, functional PBE.

It has space group I4/mmm (No. 139), with a = 4.228 Å, b = 4.228 Å, c = 14.940 Å, α = 90.00°, β = 90.00° and γ = 90.00°. The inequivalent atoms are Dy at (0.000, 0.000, 0.168), Ta at (0.000, 0.500, 0.000), Si at (0.000, 0.000, 0.375) and C at (0.000, 0.000, 0.000).

The calculated volume comes out at 267.03 Å³/cell. The value obtained for the total energy is -8.1620 eV/atom. As for the uncorrected formation energy: -594 meV per atom.


Entry 11:
DyLuTl after structural relaxation. Source: Alexandria via LeMat-Bulk, functional PBE.

It has space group I4mm (No. 107), with a = 3.532 Å, b = 3.532 Å, c = 13.604 Å, α = 90.00°, β = 90.00° and γ = 90.00°. The inequivalent atoms are Dy at (0.000, 0.000, 0.000), Lu at (0.000, 0.000, 0.319) and Tl at (0.000, 0.000, 0.662).

The calculated volume comes out at 169.69 Å³/cell. The value obtained for the total energy is -4.0513 eV/atom. The calculation puts the offset from the most stable computed form at 0.000 eV/atom.


Entry 12:
ZnHgS2 after structural relaxation. Source: Alexandria via LeMat-Bulk, functional PBE.

It has space group Fm-3m (No. 225), with a = 6.690 Å, b = 6.690 Å, c = 6.690 Å, α = 90.00°, β = 90.00° and γ = 90.00°. The inequivalent atoms are Zn at (0.000, 0.000, 0.000), Hg at (0.000, 0.000, 0.500) and S at (0.250, 0.250, 0.250).

The calculated volume comes out at 299.40 Å³/cell. The value obtained for the total energy is -2.0741 eV/atom. As for the uncorrected formation energy: 384 meV per atom.


Entry 13:
YFe2Si after structural relaxation. Source: Alexandria via LeMat-Bulk, functional PBE.

It has space group Pm (No. 6), with a = 3.323 Å, b = 3.944 Å, c = 5.292 Å, α = 90.00°, β = 103.41° and γ = 90.00°. The inequivalent atoms are Y at (0.000, 0.000, 0.000), Fe at (0.392, 0.000, 0.504), Fe at (0.773, 0.500, 0.407) and Si at (0.397, 0.500, 0.736).

The calculated volume comes out at 67.46 Å³/cell. The value obtained for the total energy is -7.2978 eV/atom. As for the uncorrected formation energy: -95 meV per atom.


Entry 14:
PaGa6Ag after structural relaxation. Source: Alexandria via LeMat-Bulk, functional PBE.

It has space group Cmmm (No. 65), with a = 7.002 Å, b = 10.090 Å, c = 4.409 Å, α = 90.00°, β = 90.00° and γ = 90.00°. The inequivalent atoms are Pa at (0.000, 0.000, 0.000), Ga at (0.000, 0.210, 0.500), Ga at (0.204, 0.500, 0.500), Ga at (0.250, 0.250, 0.000) and Ag at (0.000, 0.500, 0.000).

The calculated volume comes out at 311.45 Å³/cell. The value obtained for the total energy is -3.9339 eV/atom.


Entry 15:
GdGa2Bi after structural relaxation. Source: Alexandria via LeMat-Bulk, functional PBE.

It has space group P4/mmm (No. 123), with a = 4.639 Å, b = 4.639 Å, c = 4.423 Å, α = 90.00°, β = 90.00° and γ = 90.00°. The inequivalent atoms are Gd at (0.000, 0.000, 0.000), Ga at (0.000, 0.500, 0.500) and Bi at (0.500, 0.500, 0.000).

The calculated volume comes out at 95.19 Å³/cell. The value obtained for the total energy is -6.4481 eV/atom. The calculation puts the offset from the most stable computed form at 0.000 eV/atom.


Entry 16:
Nd2SmDyY2 after structural relaxation. Source: Alexandria via LeMat-Bulk, functional PBE.

It has space group Pnnm (No. 58), with a = 6.716 Å, b = 17.789 Å, c = 3.412 Å, α = 90.00°, β = 90.00° and γ = 90.00°. The inequivalent atoms are Nd at (0.238, 0.150, 0.000), Sm at (0.000, 0.000, 0.500), Dy at (0.000, 0.500, 0.500) and Y at (0.241, 0.322, 0.500).

The calculated volume comes out at 407.62 Å³/cell. The value obtained for the total energy is -5.0481 eV/atom.


Entry 17:
Hf5TiOs6 after structural relaxation. Source: Alexandria via LeMat-Bulk, functional PBE.

It has space group Immm (No. 71), with a = 4.573 Å, b = 6.441 Å, c = 13.717 Å, α = 90.00°, β = 90.00° and γ = 90.00°. The inequivalent atoms are Hf at (0.000, 0.000, 0.000), Hf at (0.000, 0.000, 0.335), Hf at (0.000, 0.500, 0.334), Ti at (0.000, 0.500, 0.000), Os at (0.000, 0.245, 0.500) and Os at (0.000, 0.253, 0.165).

The calculated volume comes out at 404.02 Å³/cell. The value obtained for the total energy is -11.1060 eV/atom.


Entry 18:
La3Sm2YS6 after structural relaxation. Source: Alexandria via LeMat-Bulk, functional PBE.

It has space group C2/m (No. 12), with a = 7.021 Å, b = 12.186 Å, c = 7.068 Å, α = 90.00°, β = 109.43° and γ = 90.00°. The inequivalent atoms are La at (0.000, 0.000, 0.000), La at (0.000, 0.331, 0.000), Sm at (0.000, 0.167, 0.500), Y at (0.000, 0.500, 0.500), S at (0.243, 0.336, 0.736) and S at (0.249, 0.500, 0.262).

The calculated volume comes out at 570.35 Å³/cell. The value obtained for the total energy is -6.7194 eV/atom. As for the uncorrected formation energy: -2099 meV per atom.


Entry 19:
UNb2Zn after structural relaxation. Source: Alexandria via LeMat-Bulk, functional PBE.

It has space group R-3m (No. 166, hexagonal axes), with a = 3.2966 Å, b = 3.2966 Å, c = 24.4034 Å, α = 90.00°, β = 90.00° and γ = 120.00°. The inequivalent atoms are U at (0.0000, 0.0000, 0.0000), Nb at (0.0000, 0.0000, 0.2513) and Zn at (0.0000, 0.0000, 0.5000).

The calculated volume comes out at 229.67 Å³/cell. The value obtained for the total energy is -7.7682 eV/atom. The calculation puts the offset from the most stable computed form at 0.298 eV/atom.


Entry 20:
SmThZnGe after structural relaxation. Source: Alexandria via LeMat-Bulk, functional PBE.

It has space group F-43m (No. 216), with a = 7.313 Å, b = 7.313 Å, c = 7.313 Å, α = 90.00°, β = 90.00° and γ = 90.00°. The inequivalent atoms are Sm at (0.000, 0.000, 0.000), Th at (0.000, 0.000, 0.500), Zn at (0.250, 0.250, 0.250) and Ge at (0.250, 0.250, 0.750).

The calculated volume comes out at 391.16 Å³/cell. The value obtained for the total energy is -4.9228 eV/atom.


Entry 21:
CuRe2Au after structural relaxation. Source: Alexandria via LeMat-Bulk, functional PBE.

It has space group Pmm2 (No. 25), with a = 2.773 Å, b = 3.891 Å, c = 5.615 Å, α = 90.00°, β = 90.00° and γ = 90.00°. The inequivalent atoms are Cu at (0.000, 0.000, 0.000), Re at (0.000, 0.000, 0.469), Re at (0.500, 0.500, 0.262) and Au at (0.500, 0.500, 0.768).

The calculated volume comes out at 60.59 Å³/cell. The value obtained for the total energy is -7.7796 eV/atom. The calculation puts the offset from the most stable computed form at 0.112 eV/atom.


Entry 22:
Pm2Ho4Sc after structural relaxation. Source: Alexandria via LeMat-Bulk, functional PBE.

It has space group P2_1/m (No. 11), with a = 5.891 Å, b = 6.627 Å, c = 11.561 Å, α = 90.00°, β = 104.49° and γ = 90.00°. The inequivalent atoms are Pm at (0.082, 0.250, 0.484), Pm at (0.336, 0.750, 0.064), Ho at (0.152, 0.003, 0.789), Ho at (0.229, 0.250, 0.073), Ho at (0.367, 0.750, 0.357) and Sc at (0.500, 0.250, 0.346).

The calculated volume comes out at 437.02 Å³/cell. The value obtained for the total energy is -4.7352 eV/atom.


Entry 23:
Rb3Cd6Sb5 after structural relaxation. Source: Alexandria via LeMat-Bulk, functional PBE.

It has space group Pmmn (No. 59, origin choice 2), with a = 4.832 Å, b = 15.036 Å, c = 12.508 Å, α = 90.00°, β = 90.00° and γ = 90.00°. The inequivalent atoms are Rb at (0.250, 0.099, 0.249), Rb at (0.250, 0.750, 0.248), Cd at (0.250, 0.055, 0.618), Cd at (0.250, 0.250, 0.495), Cd at (0.250, 0.250, 0.982), Cd at (0.250, 0.582, 0.009), Sb at (0.250, 0.076, 0.854), Sb at (0.250, 0.617, 0.504) and Sb at (0.250, 0.750, 0.885).

The calculated volume comes out at 908.83 Å³/cell. The value obtained for the total energy is -2.3296 eV/atom. As for the uncorrected formation energy: -258 meV per atom.


Entry 24:
TlCrI2Cl after structural relaxation. Source: Alexandria via LeMat-Bulk, functional PBE.

It has space group P4/mmm (No. 123), with a = 5.771 Å, b = 5.771 Å, c = 4.818 Å, α = 90.00°, β = 90.00° and γ = 90.00°. The inequivalent atoms are Tl at (0.000, 0.000, 0.000), Cr at (0.500, 0.500, 0.500), I at (0.000, 0.500, 0.500) and Cl at (0.500, 0.500, 0.000).

The calculated volume comes out at 160.44 Å³/cell. The value obtained for the total energy is -3.9759 eV/atom. As for the uncorrected formation energy: -589 meV per atom.


Entry 25:
CdNiRh2C after structural relaxation. Source: Alexandria via LeMat-Bulk, functional PBE.

It has space group P4/mmm (No. 123), with a = 4.114 Å, b = 4.114 Å, c = 3.887 Å, α = 90.00°, β = 90.00° and γ = 90.00°. The inequivalent atoms are Cd at (0.000, 0.000, 0.000), Ni at (0.500, 0.500, 0.000), Rh at (0.000, 0.500, 0.500) and C at (0.500, 0.500, 0.500).

The calculated volume comes out at 65.80 Å³/cell. The value obtained for the total energy is -6.1626 eV/atom.